## Nd2Ga3Ag2 (PBE-GGA)

Data for a geometry-optimized Nd2Ga3Ag2 structure.

The structure belongs to space group C2/m (No. 12); the cell edges are 10.794, 4.556 and 6.734 Å and the angles 90.00°, 112.66° and 90.00°. The asymmetric unit holds Nd at (0.154, 0.000, 0.270), Ga at (0.000, 0.500, 0.500), Ga at (0.093, 0.500, 0.926) and Ag at (0.147, 0.000, 0.755).

Its relative energy among the computed polymorphs is 0.047 eV per atom. As for the formation energy from the elements: -431 meV per atom.